A plane-wave DFT calculation with GGA-PBE was carried out for an optimized crystal structure of NaCaHg2.

abc: 8.348 8.348 6.799
angles: 52.13 52.13 90.00
Atoms (fractional coordinates):
Na1 0.500 0.500 0.000
Na2 0.250 0.750 0.500
Ca1 0.000 0.000 0.000
Ca2 0.750 0.250 0.500
Hg1 0.613 0.125 0.250
Hg2 0.137 0.625 0.250
Hg3 0.375 0.387 0.750
Hg4 0.875 0.863 0.750

Calculated values
Total energy, eV for the cell shown: -9.470
Formation energy, eV/atom: -0.2027
V, Å³ per cell: 235.10
Space-group type: I-42d, No. 122